# 1
DFT (SCAN) results for a PBEsol-optimized structure of YPPt2.

Calculated values
- M_tot: 0.000 μB/f.u.
- Formation energy: -0.57 eV per atom
- SG: F-43m (216)

Cell lengths 4.593, 4.593, 4.593 Å; angles 60.00, 60.00, 60.00 degrees
Atoms (fractional coordinates):
1 P 0.500 0.500 0.500
2 Pt 0.750 0.750 0.750
3 Pt 0.000 0.000 0.000
4 Y 0.250 0.250 0.250

# 2
DFT (SCAN) results for a PBEsol-optimized structure of YP2Pt.

Calculated values
- M_tot: 0.000 μB/f.u.
- Energy above the lowest structure with this stoichiometry: 0.162 eV/atom
- Formation energy: -0.75 eV per atom
- SG: P4mm (99)

Cell lengths 3.565, 3.565, 5.553 Å; angles 90.00, 90.00, 90.00 degrees
Atoms (fractional coordinates):
1 P 0.500 0.500 0.308
2 P 0.000 0.000 0.977
3 Pt 0.000 0.000 0.414
4 Y 0.500 0.500 0.802

# 3
DFT (SCAN) results for a PBEsol-optimized structure of ZnP2Pt.

Calculated values
- M_tot: 0.000 μB/f.u.
- Formation energy: 0.43 eV per atom
- SG: F-43m (216)

Cell lengths 4.357, 4.357, 4.357 Å; angles 60.00, 60.00, 60.00 degrees
Atoms (fractional coordinates):
1 P 0.750 0.750 0.750
2 P 0.000 0.000 0.000
3 Zn 0.250 0.250 0.250
4 Pt 0.500 0.500 0.500

# 4
DFT (SCAN) results for a PBEsol-optimized structure of Zn3PPt.

Calculated values
- M_tot: 0.000 μB/f.u.
- Formation energy: 0.41 eV per atom
- SG: Pm-3m (221)

Cell lengths 4.695, 4.695, 4.695 Å; angles 90.00, 90.00, 90.00 degrees
Atoms (fractional coordinates):
1 Pt 0.000 0.000 0.000
2 Zn 0.000 0.500 0.000
3 Zn 0.500 0.000 0.000
4 Zn 0.000 0.000 0.500
5 P 0.500 0.500 0.500